# ZnIr6Rh5 PBE-GGA relaxed
# Energy relative to the elements = -0.011 eV per atom
# Symmetry = Immm (71)
# VASP energy = -91.329 eV for the cell shown
# Crystal system = orthorhombic
data_ZnIr6Rh5
_chemical_formula_sum 'Zn1 Ir6 Rh5'
_cell_length_a 3.854
_cell_length_b 7.212
_cell_length_c 7.212
_cell_angle_alpha 106.43
_cell_angle_beta 105.50
_cell_angle_gamma 105.50
_symmetry_space_group_name_H-M 'P 1'
_symmetry_Int_Tables_number 1
loop_
_symmetry_equiv_pos_as_xyz
'x,y,z'
loop_
_atom_site_label
_atom_site_fract_x
_atom_site_fract_y
_atom_site_fract_z
_atom_site_occupancy
Ir1 0.755 0.255 0.255 1
Ir2 0.251 0.084 0.418 1
Ir3 0.749 0.582 0.916 1
Ir4 0.749 0.916 0.582 1
Ir5 0.251 0.418 0.084 1
Ir6 0.245 0.745 0.745 1
Rh1 0.000 0.332 0.668 1
Rh2 0.500 0.500 0.500 1
Rh3 0.500 0.834 0.166 1
Rh4 0.000 0.668 0.332 1
Rh5 0.500 0.166 0.834 1
Zn1 0.000 0.000 0.000 1